No. 1
Below is a relaxed RbHoAlS4 crystal, with properties calculated at the PBE level.

Calculated values
symmetry	P2_1/m
formation energy (no corrections)	-1378	meV per atom

Cell lengths 6.8567, 5.6781, 9.5259 Å; angles 90.00, 105.67, 90.00 degrees
Last column: nearest neighbours and their distance in Å.
Fractional positions:
Rb: 0.7413 0.7500 0.9581  5 S 3.26-3.59
Rb: 0.2587 0.2500 0.0419  5 S 3.26-3.59
Ho: 0.7462 0.7500 0.4417  8 S 2.73-3.05
Ho: 0.2538 0.2500 0.5583  8 S 2.73-3.05
Al: 0.2540 0.7500 0.3335  4 S 2.19-2.28
Al: 0.7460 0.2500 0.6665  4 S 2.19-2.28
S: 0.0053 0.5143 0.6986  1 Al 2.28
S: 0.9947 0.0143 0.3014  1 Al 2.28
S: 0.9947 0.4857 0.3014  1 Al 2.28
S: 0.0053 0.9857 0.6986  1 Al 2.28
S: 0.4486 0.7500 0.1850  1 Al 2.19
S: 0.5514 0.2500 0.8150  1 Al 2.19
S: 0.4206 0.7500 0.5692  1 Al 2.23
S: 0.5794 0.2500 0.4308  1 Al 2.23

=====

No. 2
Below is a relaxed HgIrBr2 crystal, with properties calculated at the PBE level.

Calculated values
polymorph energy (0 for the lowest one)	287	meV/atom
symmetry	Imm2
formation energy (no corrections)	367	meV per atom

Cell lengths 6.4434, 6.4434, 6.4434 Å; angles 147.47, 97.27, 91.74 degrees
Last column: nearest neighbours and their distance in Å.
Fractional positions:
Ir: 0.2489 0.7489 0.5000  2 Br 2.38
Hg: 0.4739 0.4739 0.0000  2 Ir 2.71, 2 Br 2.72
Br: 0.0759 0.0759 0.0000  2 Ir 2.38
Br: 0.7013 0.2013 0.5000  2 Hg 2.72

=====

No. 3
Below is a relaxed CrAg2Ir crystal, with properties calculated at the PBE level.

Calculated values
energy relative to the elements	361.9	meV/atom
polymorph energy (0 for the lowest one)	170	meV/atom
symmetry	C2/m

Cell lengths 5.0683, 5.0683, 4.7358 Å; angles 80.23, 80.23, 32.58 degrees
Last column: nearest neighbours and their distance in Å.
Fractional positions:
Ag: 0.9982 0.9982 0.0011  6 Ag 2.76-2.84, 3 Ir 2.87-2.90, 3 Cr 2.87-2.90
Ag: 0.5018 0.5018 0.4989  6 Ag 2.76-2.84, 3 Ir 2.87-2.90, 3 Cr 2.87-2.90
Cr: 0.7500 0.7500 0.7500  4 Ir 2.76, 2 Cr 2.84, 6 Ag 2.87-2.90
Ir: 0.2500 0.2500 0.2500  4 Cr 2.76, 2 Ir 2.84, 6 Ag 2.87-2.90

=====

No. 4
Below is a relaxed ZrTlPb3 crystal, with properties calculated at the PBE level.

Calculated values
energy relative to the elements	229.4	meV/atom
polymorph energy (0 for the lowest one)	0	meV/atom
symmetry	Pm-3m

Cell lengths 5.7026, 5.7026, 5.7026 Å; angles 90.00, 90.00, 90.00 degrees
Last column: nearest neighbours and their distance in Å.
Fractional positions:
Pb: 0.0000 0.5000 0.0000  2 Zr 2.85
Pb: 0.0000 0.0000 0.5000  2 Zr 2.85
Pb: 0.5000 0.0000 0.0000  2 Zr 2.85
Tl: 0.5000 0.5000 0.5000  12 Pb 4.03
Zr: 0.0000 0.0000 0.0000  6 Pb 2.85

=====

No. 5
Below is a relaxed YBeIn crystal, with properties calculated at the PBE level.

Calculated values
energy relative to the elements	-189.4	meV/atom
polymorph energy (0 for the lowest one)	78	meV/atom
symmetry	Immm

Cell lengths 3.9692, 6.4328, 5.8803 Å; angles 62.78, 90.01, 107.98 degrees
Last column: nearest neighbours and their distance in Å.
Fractional positions:
Y: 0.8349 0.8943 0.7425  4 Be 2.87-3.13
Y: 0.2415 0.7078 0.3356  4 Be 2.86-3.13
Be: 0.1423 0.5088 0.9355  1 Be 2.23
Be: 0.9339 0.0931 0.1427  1 Be 2.23
In: 0.5383 0.3013 0.7921  4 Be 2.70, 2 In 2.90-2.98
In: 0.5381 0.3009 0.2859  4 Be 2.70, 2 In 2.90-2.98

=====

No. 6
Below is a relaxed KCaNbO4 crystal, with properties calculated at the PBE level.

Calculated values
symmetry	P2_1/m
formation energy (no corrections)	-2555	meV per atom

Cell lengths 6.1799, 6.2655, 7.3798 Å; angles 90.00, 104.35, 90.00 degrees
Last column: nearest neighbours and their distance in Å.
Fractional positions:
K: 0.7117 0.7500 0.9281  2 O 2.61-2.64
K: 0.2883 0.2500 0.0719  2 O 2.61-2.64
Ca: 0.8182 0.7500 0.4564  6 O 2.33-2.55
Ca: 0.1818 0.2500 0.5436  6 O 2.33-2.55
Nb: 0.2873 0.7500 0.3441  4 O 1.85-1.90
Nb: 0.7127 0.2500 0.6559  4 O 1.85-1.90
O: 0.9178 0.4793 0.6774  1 Nb 1.90
O: 0.0822 0.9793 0.3226  1 Nb 1.90
O: 0.0822 0.5207 0.3226  1 Nb 1.90
O: 0.9178 0.0207 0.6774  1 Nb 1.90
O: 0.4858 0.7500 0.1886  1 Nb 1.88
O: 0.5142 0.2500 0.8114  1 Nb 1.88
O: 0.4850 0.7500 0.5783  1 Nb 1.85
O: 0.5150 0.2500 0.4217  1 Nb 1.85

=====

No. 7
Below is a relaxed TbAg2S3 crystal, with properties calculated at the PBE level.

Calculated values
symmetry	Cmcm
formation energy (no corrections)	-551	meV per atom

Cell lengths 5.2177, 7.3894, 7.3894 Å; angles 114.19, 90.00, 90.00 degrees
Last column: nearest neighbours and their distance in Å.
Fractional positions:
Tb: 0.2500 0.2608 0.7392  2 S 2.73
Tb: 0.7500 0.7392 0.2608  2 S 2.73
Ag: 0.0000 0.2170 0.2170  4 S 2.51-2.73, 2 Ag 2.61
Ag: 0.5000 0.2170 0.2170  4 S 2.51-2.73, 2 Ag 2.61
Ag: 0.0000 0.7830 0.7830  4 S 2.51-2.73, 2 Ag 2.61
Ag: 0.5000 0.7830 0.7830  4 S 2.51-2.73, 2 Ag 2.61
S: 0.7500 0.1326 0.8674  4 Ag 2.73, 2 S 2.98, 2 Tb 3.06
S: 0.7500 0.1409 0.4680  2 Ag 2.51, 1 Tb 2.73
S: 0.2500 0.4680 0.1409  2 Ag 2.51, 1 Tb 2.73
S: 0.7500 0.5320 0.8591  2 Ag 2.51, 1 Tb 2.73
S: 0.2500 0.8591 0.5320  2 Ag 2.51, 1 Tb 2.73
S: 0.2500 0.8674 0.1326  4 Ag 2.73, 2 S 2.98, 2 Tb 3.06

=====

No. 8
Below is a relaxed Rb4PrHo3Te8 crystal, with properties calculated at the PBE level.

Calculated values
symmetry	R-3m
formation energy (no corrections)	-1382	meV per atom

Cell lengths 9.1084, 10.0478, 9.1090 Å; angles 116.97, 120.00, 90.00 degrees
Last column: nearest neighbours and their distance in Å.
Fractional positions:
Rb: 0.5000 0.0000 0.0000  6 Te 3.62
Rb: 0.5000 0.0000 0.5000  6 Te 3.69
Rb: 0.0000 0.0000 0.0000  6 Te 3.69
Rb: 0.0000 0.0000 0.5000  6 Te 3.69
Pr: 0.0000 0.5000 0.0000  6 Te 3.20
Ho: 0.5000 0.5000 0.0000  6 Te 3.11-3.12
Ho: 0.5000 0.5000 0.5000  6 Te 3.11-3.12
Ho: 0.0000 0.5000 0.5000  6 Te 3.11-3.12
Te: 0.2383 0.7012 0.9631  2 Ho 3.11, 1 Pr 3.20
Te: 0.2383 0.7012 0.4766  2 Ho 3.11, 1 Pr 3.20
Te: 0.2676 0.3028 0.5351  3 Ho 3.12
Te: 0.7248 0.7012 0.9631  2 Ho 3.11, 1 Pr 3.20
Te: 0.2752 0.2988 0.0369  2 Ho 3.11, 1 Pr 3.20
Te: 0.7324 0.6972 0.4649  3 Ho 3.12
Te: 0.7617 0.2988 0.5234  2 Ho 3.11, 1 Pr 3.20
Te: 0.7617 0.2988 0.0369  2 Ho 3.11, 1 Pr 3.20

=====

No. 9
Below is a relaxed NpUPtRh crystal, with properties calculated at the PBE level.

Calculated values
energy relative to the elements	-634.4	meV/atom
symmetry	F-43m

Cell lengths 4.6601, 4.6601, 4.6601 Å; angles 60.00, 60.00, 60.00 degrees
Last column: nearest neighbours and their distance in Å.
Fractional positions:
Np: 0.2500 0.2500 0.2500  4 Pt 2.85, 4 U 2.85
Rh: 0.7500 0.7500 0.7500  4 U 2.85, 4 Pt 2.85
U: 0.5000 0.5000 0.5000  4 Np 2.85, 4 Rh 2.85
Pt: 0.0000 0.0000 0.0000  4 Rh 2.85, 4 Np 2.85

=====

No. 10
Below is a relaxed UNi7Te12 crystal, with properties calculated at the PBE level.

Calculated values
symmetry	R-3
formation energy (no corrections)	-231	meV per atom

Cell lengths 8.3083, 8.3083, 8.3083 Å; angles 106.01, 106.01, 106.01 degrees
Last column: nearest neighbours and their distance in Å.
Fractional positions:
U: 0.0000 0.0000 0.0000  6 Ni 2.73
Ni: 0.9590 0.6447 0.8746  5 Te 2.51-2.73, 1 U 2.73
Ni: 0.3553 0.1254 0.0410  5 Te 2.51-2.73, 1 U 2.73
Ni: 0.1254 0.0410 0.3553  5 Te 2.51-2.73, 1 U 2.73
Ni: 0.5000 0.5000 0.5000  6 Te 2.58
Ni: 0.8746 0.9590 0.6447  5 Te 2.51-2.73, 1 U 2.73
Ni: 0.6447 0.8746 0.9590  5 Te 2.51-2.73, 1 U 2.73
Ni: 0.0410 0.3553 0.1254  5 Te 2.51-2.73, 1 U 2.73
Te: 0.9255 0.2925 0.7890  3 Ni 2.54-2.73
Te: 0.7075 0.2110 0.0745  3 Ni 2.54-2.73
Te: 0.4453 0.1611 0.3674  3 Ni 2.51-2.58
Te: 0.8389 0.6326 0.5547  3 Ni 2.51-2.58
Te: 0.2110 0.0745 0.7075  3 Ni 2.54-2.73
Te: 0.6326 0.5547 0.8389  3 Ni 2.51-2.58
Te: 0.3674 0.4453 0.1611  3 Ni 2.51-2.58
Te: 0.7890 0.9255 0.2925  3 Ni 2.54-2.73
Te: 0.1611 0.3674 0.4453  3 Ni 2.51-2.58
Te: 0.5547 0.8389 0.6326  3 Ni 2.51-2.58
Te: 0.2925 0.7890 0.9255  3 Ni 2.54-2.73
Te: 0.0745 0.7075 0.2110  3 Ni 2.54-2.73

=====

No. 11
Below is a relaxed CsTaS3 crystal, with properties calculated at the PBE level.

Calculated values
polymorph energy (0 for the lowest one)	0	meV/atom
symmetry	P2_1/c
formation energy (no corrections)	-1176	meV per atom

Cell lengths 6.4354, 7.6708, 13.7980 Å; angles 90.00, 90.00, 89.70 degrees
Last column: nearest neighbours and their distance in Å.
Fractional positions:
Cs: 0.7498 0.7470 0.5646  8 S 3.56-3.85
Cs: 0.2502 0.2530 0.4354  8 S 3.56-3.85
Cs: 0.7502 0.2530 0.0646  8 S 3.56-3.85
Cs: 0.2498 0.7470 0.9354  8 S 3.56-3.85
Ta: 0.6757 0.2474 0.7053  5 S 2.23-2.47
Ta: 0.1757 0.2474 0.7947  5 S 2.23-2.47
Ta: 0.8243 0.7526 0.2053  5 S 2.23-2.47
Ta: 0.3243 0.7526 0.2947  5 S 2.23-2.47
S: 0.3994 0.0295 0.7258  2 Ta 2.40-2.46
S: 0.8922 0.4627 0.7779  2 Ta 2.39-2.47
S: 0.2513 0.7517 0.4528  1 Ta 2.23
S: 0.7513 0.7517 0.0472  1 Ta 2.23
S: 0.3922 0.4627 0.7221  2 Ta 2.39-2.47
S: 0.8994 0.0295 0.7742  2 Ta 2.40-2.46
S: 0.1078 0.5373 0.2221  2 Ta 2.39-2.47
S: 0.2487 0.2483 0.9528  1 Ta 2.23
S: 0.6078 0.5373 0.2779  2 Ta 2.39-2.47
S: 0.6006 0.9705 0.2742  2 Ta 2.40-2.46
S: 0.1006 0.9705 0.2258  2 Ta 2.40-2.46
S: 0.7487 0.2483 0.5472  1 Ta 2.23